# 1
A relaxed CdTe3I crystal, computed with PBE.

Computed properties:
symmetry = Pm-3m, No. 221
offset from the most stable computed form = 0 meV/atom
magnetization = 0.0 μB/f.u.
formation energy (no corrections) = 2.5 eV/f.u.

Cell lengths 5.631, 5.631, 5.631 Å; angles 90.00, 90.00, 90.00 degrees
Sites, in units of the cell vectors:
Cd (0.000, 0.000, 0.000)
Te (0.000, 0.000, 0.500)
Te (0.000, 0.500, 0.000)
Te (0.500, 0.000, 0.000)
I (0.500, 0.500, 0.500)

***

# 2
A relaxed LiCa4Er3Se8 crystal, computed with PBE.

Computed properties:
symmetry = R-3m, No. 166
magnetization = 0.0 μB/f.u.
formation energy (no corrections) = -29.7 eV/f.u.

Cell lengths 8.235, 8.235, 8.235 Å; angles 59.72, 59.72, 59.72 degrees
Sites, in units of the cell vectors:
Li (0.000, 0.000, 0.000)
Ca (0.000, 0.000, 0.500)
Ca (0.000, 0.500, 0.000)
Ca (0.500, 0.000, 0.000)
Ca (0.500, 0.500, 0.500)
Er (0.000, 0.500, 0.500)
Er (0.500, 0.000, 0.500)
Er (0.500, 0.500, 0.000)
Se (0.246, 0.246, 0.747)
Se (0.246, 0.747, 0.246)
Se (0.253, 0.253, 0.253)
Se (0.253, 0.754, 0.754)
Se (0.747, 0.246, 0.246)
Se (0.747, 0.747, 0.747)
Se (0.754, 0.253, 0.754)
Se (0.754, 0.754, 0.253)

***

# 3
A relaxed Sc2NbCuC crystal, computed with PBE.

Computed properties:
symmetry = P4/mmm, No. 123
magnetization = 0.0 μB/f.u.
DFT total energy = -0.543 Ry per atom

Cell lengths 4.428, 4.428, 4.309 Å; angles 90.00, 90.00, 90.00 degrees
Sites, in units of the cell vectors:
Sc (0.000, 0.500, 0.000)
Sc (0.500, 0.000, 0.000)
Nb (0.000, 0.000, 0.500)
Cu (0.500, 0.500, 0.500)
C (0.000, 0.000, 0.000)

***

# 4
A relaxed ReSi2Pb crystal, computed with PBE.

Computed properties:
symmetry = I-42d, No. 122
magnetization = 0.0 μB/f.u.
formation energy (no corrections) = 2.4 eV/f.u.

Cell lengths 4.996, 4.996, 15.430 Å; angles 90.00, 90.00, 90.00 degrees
Sites, in units of the cell vectors:
Re (0.000, 0.000, 0.000)
Re (0.000, 0.500, 0.250)
Re (0.500, 0.000, 0.750)
Re (0.500, 0.500, 0.500)
Si (0.075, 0.250, 0.125)
Si (0.250, 0.575, 0.375)
Si (0.250, 0.925, 0.875)
Si (0.425, 0.250, 0.625)
Si (0.575, 0.750, 0.625)
Si (0.750, 0.075, 0.875)
Si (0.750, 0.425, 0.375)
Si (0.925, 0.750, 0.125)
Pb (0.000, 0.000, 0.500)
Pb (0.000, 0.500, 0.750)
Pb (0.500, 0.000, 0.250)
Pb (0.500, 0.500, 0.000)

***

# 5
A relaxed Zr2ZnH crystal, computed with PBE.

Computed properties:
symmetry = Fm-3m, No. 225
offset from the most stable computed form = 382 meV/atom
magnetization = 0.0 μB/f.u.

Cell lengths 6.400, 6.400, 6.400 Å; angles 90.00, 90.00, 90.00 degrees
Sites, in units of the cell vectors:
Zr (0.250, 0.250, 0.250)
Zr (0.250, 0.250, 0.750)
Zr (0.250, 0.750, 0.250)
Zr (0.250, 0.750, 0.750)
Zr (0.750, 0.250, 0.250)
Zr (0.750, 0.250, 0.750)
Zr (0.750, 0.750, 0.250)
Zr (0.750, 0.750, 0.750)
Zn (0.000, 0.000, 0.000)
Zn (0.000, 0.500, 0.500)
Zn (0.500, 0.000, 0.500)
Zn (0.500, 0.500, 0.000)
H (0.000, 0.000, 0.500)
H (0.000, 0.500, 0.000)
H (0.500, 0.000, 0.000)
H (0.500, 0.500, 0.500)

***

# 6
A relaxed Ac7La3Pr crystal, computed with PBE.

Computed properties:
symmetry = P-1, No. 2
offset from the most stable computed form = 0 meV/atom
magnetization = 0.0 μB/f.u.

Cell lengths 7.055, 7.326, 9.420 Å; angles 100.43, 97.17, 97.37 degrees
Sites, in units of the cell vectors:
Ac (0.000, 0.000, 0.000)
Ac (0.064, 0.220, 0.646)
Ac (0.318, 0.429, 0.328)
Ac (0.498, 0.233, 0.921)
Ac (0.502, 0.767, 0.079)
Ac (0.682, 0.571, 0.672)
Ac (0.936, 0.780, 0.354)
La (0.212, 0.738, 0.707)
La (0.500, 0.000, 0.500)
La (0.788, 0.262, 0.293)
Pr (0.000, 0.500, 0.000)

***

We obtain theoretical density values of 5.8 5.5 5.1 7.8 6.3 7.6 g cm⁻³ for the records listed above, in that order.